A relaxed ScCdHg2 crystal. Source: the Open Quantum Materials Database, functional GGA-PBE.

Computed properties:
The calculation puts the electronic total energy at -8.460 eV/f.u. The crystal system is cubic. The value obtained for the volume is 86.57 Å³ per cell.

POSCAR file:
```
ScCdHg2
1.0
0.0000 3.5111 3.5111
3.5111 0.0000 3.5111
3.5111 3.5111 0.0000
Cd Hg Sc
1 2 1
Direct
0.2500 0.2500 0.2500
0.5000 0.5000 0.5000
0.7500 0.7500 0.7500
0.0000 0.0000 0.0000
```



A relaxed CdSiHg2 crystal. Source: the Open Quantum Materials Database, functional GGA-PBE.

Computed properties:
The calculation puts the electronic total energy at -5.311 eV/f.u. The crystal system is cubic. The value obtained for the volume is 89.89 Å³ per cell.

POSCAR file:
```
CdSiHg2
1.0
-1.8161 -2.4145 4.0192
-4.5517 1.1669 1.7895
-3.8122 -3.2368 -0.5218
Cd Hg Si
1 2 1
Direct
0.2500 0.2500 0.2500
0.0000 0.0000 0.0000
0.7500 0.7500 0.7500
0.5000 0.5000 0.5000
```



A relaxed SmCdHg crystal. Source: the Open Quantum Materials Database, functional GGA-PBE.

Computed properties:
The calculation puts the electronic total energy at -5.980 eV/f.u. The crystal system is cubic. The value obtained for the volume is 91.46 Å³ per cell.

POSCAR file:
```
SmCdHg
1.0
-3.0096 3.1725 2.5403
-1.0389 4.5689 -1.9029
-4.6388 1.0208 -1.7365
Cd Hg Sm
1 1 1
Direct
0.2500 0.2500 0.2500
0.7500 0.7500 0.7500
0.0000 0.0000 0.0000
```